A plane-wave DFT calculation with PBE was carried out for CsCeCoS4 after structural relaxation.

Unit cell a=6.619 b=5.963 c=9.641 alpha=90.00 beta=105.92 gamma=90.00
Positions (direct):
1 Cs 0.249 0.250 0.452
2 Cs 0.751 0.750 0.548
3 Ce 0.243 0.250 0.950
4 Ce 0.757 0.750 0.050
5 Co 0.272 0.750 0.160
6 Co 0.728 0.250 0.840
7 S 0.069 0.750 0.303
8 S 0.093 0.750 0.931
9 S 0.494 0.512 0.808
10 S 0.494 0.988 0.808
11 S 0.506 0.012 0.192
12 S 0.506 0.488 0.192
13 S 0.907 0.250 0.069
14 S 0.931 0.250 0.697

Calculated values
E_form (uncorrected) = -1.12 eV per atom

---

A plane-wave DFT calculation with PBE was carried out for CoCuRh2 after structural relaxation.

Unit cell a=2.629 b=2.629 c=8.732 alpha=90.00 beta=90.00 gamma=117.17
Positions (direct):
1 Co 0.000 0.000 0.000
2 Cu 0.000 0.000 0.500
3 Rh 0.500 0.500 0.245
4 Rh 0.500 0.500 0.755

Calculated values
Calculated formation energy = 0.7 eV/f.u.
Energy above the lowest structure with this stoichiometry = 147 meV/atom

---

| no. | mass density (g/cm3) |
| --- | --- |
| 1 | 4.18 |
| 2 | 10.15 |